This record from Alexandria describes crystalline Ba6Rh2I3Cl at its relaxed geometry. The functional is PBE-GGA.

Properties
Calculated total energy in eV per atom: -3.84
DOS(E_F) in states/eV/atom: 0.65
ΔE_f (raw) in kJ/mol of formula units: -1288
Total magnetic moment in μB per cell: 0.0

```
Ba6Rh2I3Cl
1.0
4.040 -6.988 0.000
4.040 6.988 0.000
-2.692 0.000 8.569
Ba Rh I Cl
6 2 3 1
Cartesian
-0.081 2.481 6.838 Ba
1.175 0.000 1.711 Ba
-0.081 -2.481 6.838 Ba
5.468 2.481 1.731 Ba
4.212 0.000 6.858 Ba
5.468 -2.481 1.731 Ba
4.040 4.649 0.000 Rh
4.040 -4.649 0.000 Rh
-1.346 0.000 4.285 I
2.694 2.250 4.285 I
2.694 -2.250 4.285 I
4.040 0.000 0.000 Cl
```